1.
Compound: InSn3C
Source: Alexandria
Functional: GGA-PBE
Structure: relaxed

Results
- total magnetization (Bohr magnetons per cell) = 0.00
- relative energy among the computed polymorphs (meV/atom) = 0
- ΔE_f (eV per atom) = 0.771

Cell lengths 4.8608, 4.8608, 4.8608 Å; angles 90.00, 90.00, 90.00 degrees
Fractional coordinates of all 5 atoms:
In: 0.0000 0.0000 0.0000
Sn: 0.0000 0.5000 0.5000
Sn: 0.5000 0.0000 0.5000
Sn: 0.5000 0.5000 0.0000
C: 0.5000 0.5000 0.5000


2.
Compound: InSn3C
Source: Alexandria
Functional: GGA-PBE
Structure: relaxed

Results
- total magnetization (Bohr magnetons per cell) = 1.49
- relative energy among the computed polymorphs (meV/atom) = 1131
- ΔE_f (eV per atom) = 1.902

Cell lengths 5.6459, 5.6459, 5.6459 Å; angles 90.00, 90.00, 90.00 degrees
Fractional coordinates of all 5 atoms:
In: 0.0000 0.0000 0.0000
Sn: 0.0000 0.0000 0.5000
Sn: 0.0000 0.5000 0.0000
Sn: 0.5000 0.0000 0.0000
C: 0.5000 0.5000 0.5000